{
  "formula": "Si2Sb2As",
  "functional": "meta-GGA SCAN",
  "state": "single point on PBEsol structure",
  "cell": [[3.630, 0.000, 0.000], [0.000, 7.748, 0.000], [0.000, 0.000, 7.748]],
  "species": ["Sb", "Sb", "Sb", "Sb", "As", "As", "Si", "Si", "Si", "Si"],
  "fractional_positions": [[0.000, 0.313, 0.813], [0.000, 0.813, 0.687], [0.000, 0.687, 0.187], [0.000, 0.187, 0.313], [0.000, 0.000, 0.000], [0.000, 0.500, 0.500], [0.500, 0.112, 0.612], [0.500, 0.612, 0.888], [0.500, 0.888, 0.388], [0.500, 0.388, 0.112]],
  "n_ef_per_ev_fu": 2.67,
  "e_form_raw_kj_per_mol_atoms": 61.1
}